[1]
# Cd5PdAu (GGA-PBE, relaxed)
# - theoretical density (g/cm³) = 9.62
# - formation enthalpy at 0 K (eV per formula unit) = -1.136
data_Cd5PdAu
_chemical_formula_sum 'Cd20 Pd4 Au4'
_cell_length_a 8.307
_cell_length_b 9.355
_cell_length_c 7.688
_cell_angle_alpha 90.00
_cell_angle_beta 90.00
_cell_angle_gamma 90.00
_space_group_name_H-M_alt 'I m m a'
_space_group_IT_number 74
_space_group_name_Hall '-I 2b 2'
loop_
_atom_site_label
_atom_site_type_symbol
_atom_site_fract_x
_atom_site_fract_y
_atom_site_fract_z
_atom_site_occupancy
Cd1 Cd 0.000 0.250 0.189 1
Cd2 Cd 0.194 0.250 0.510 1
Cd3 Cd 0.250 0.002 0.750 1
Pd1 Pd 0.000 0.000 0.500 1
Au1 Au 0.000 0.250 0.820 1

***

[2]
# MnNiN2 (GGA-PBE, relaxed)
# - formation energy without anion corrections (kcal/mol of atoms) = -0.25
# - theoretical density (g/cm³) = 6.61
data_MnNiN2
_chemical_formula_sum 'Mn2 Ni2 N4'
_cell_length_a 2.6194
_cell_length_b 2.6194
_cell_length_c 11.9835
_cell_angle_alpha 90.00
_cell_angle_beta 90.00
_cell_angle_gamma 120.00
_space_group_name_H-M_alt 'P 63/m m c'
_space_group_IT_number 194
_space_group_name_Hall '-P 6c 2c'
loop_
_atom_site_label
_atom_site_type_symbol
_atom_site_fract_x
_atom_site_fract_y
_atom_site_fract_z
_atom_site_occupancy
Mn1 Mn 0.3333 0.6667 0.2500 1
Ni1 Ni 0.0000 0.0000 0.0000 1
N1 N 0.0000 0.0000 0.1518 1

***

[3]
# ZrBeCu2Rh (GGA-PBE, relaxed)
# - theoretical density (g/cm³) = 5.63
# - formation enthalpy at 0 K (eV per formula unit) = 8.554
data_ZrBeCu2Rh
_chemical_formula_sum 'Zr1 Be1 Cu2 Rh1'
_cell_length_a 4.672
_cell_length_b 4.672
_cell_length_c 4.462
_cell_angle_alpha 90.00
_cell_angle_beta 90.00
_cell_angle_gamma 90.00
_space_group_name_H-M_alt 'P 4/m m m'
_space_group_IT_number 123
_space_group_name_Hall '-P 4 2'
loop_
_atom_site_label
_atom_site_type_symbol
_atom_site_fract_x
_atom_site_fract_y
_atom_site_fract_z
_atom_site_occupancy
Zr1 Zr 0.000 0.000 0.000 1
Be1 Be 0.000 0.000 0.500 1
Cu1 Cu 0.000 0.500 0.000 1
Rh1 Rh 0.500 0.500 0.500 1

***

[4]
# NpTl3Br7 (GGA-PBE, relaxed)
# - formation energy without anion corrections (kcal/mol of atoms) = -23.71
# - theoretical density (g/cm³) = 5.36
data_NpTl3Br7
_chemical_formula_sum 'Np2 Tl6 Br14'
_cell_length_a 11.477
_cell_length_b 10.216
_cell_length_c 8.670
_cell_angle_alpha 90.00
_cell_angle_beta 120.70
_cell_angle_gamma 90.00
_space_group_name_H-M_alt 'C 1 m 1'
_space_group_IT_number 8
_space_group_name_Hall 'C -2y'
loop_
_atom_site_label
_atom_site_type_symbol
_atom_site_fract_x
_atom_site_fract_y
_atom_site_fract_z
_atom_site_occupancy
Np1 Np 0.000 0.000 0.000 1
Tl1 Tl 0.429 0.270 0.446 1
Tl2 Tl 0.435 0.000 0.965 1
Br1 Br 0.093 0.231 0.222 1
Br2 Br 0.102 0.000 0.760 1
Br3 Br 0.318 0.000 0.225 1
Br4 Br 0.318 0.500 0.131 1
Br5 Br 0.326 0.313 0.754 1

***

[5]
# NdEr4Tl2 (GGA-PBE, relaxed)
# - theoretical density (g/cm³) = 9.39
# - formation enthalpy at 0 K (eV per formula unit) = -0.844
data_NdEr4Tl2
_chemical_formula_sum 'Nd2 Er8 Tl4'
_cell_length_a 9.318
_cell_length_b 9.318
_cell_length_c 4.978
_cell_angle_alpha 90.00
_cell_angle_beta 90.00
_cell_angle_gamma 90.00
_space_group_name_H-M_alt 'P 42/m n m'
_space_group_IT_number 136
_space_group_name_Hall '-P 4n 2n'
loop_
_atom_site_label
_atom_site_type_symbol
_atom_site_fract_x
_atom_site_fract_y
_atom_site_fract_z
_atom_site_occupancy
Nd1 Nd 0.000 0.000 0.000 1
Er1 Er 0.105 0.356 0.500 1
Tl1 Tl 0.190 0.810 0.500 1

***

[6]
# PuTl3Cr2Se6 (GGA-PBE, relaxed)
# - formation energy without anion corrections (kcal/mol of atoms) = -15.54
# - theoretical density (g/cm³) = 7.77
data_PuTl3Cr2Se6
_chemical_formula_sum 'Pu2 Tl6 Cr4 Se12'
_cell_length_a 6.740
_cell_length_b 11.631
_cell_length_c 8.152
_cell_angle_alpha 90.00
_cell_angle_beta 106.25
_cell_angle_gamma 90.00
_space_group_name_H-M_alt 'C 1 2/m 1'
_space_group_IT_number 12
_space_group_name_Hall '-C 2y'
loop_
_atom_site_label
_atom_site_type_symbol
_atom_site_fract_x
_atom_site_fract_y
_atom_site_fract_z
_atom_site_occupancy
Pu1 Pu 0.000 0.000 0.000 1
Tl1 Tl 0.000 0.158 0.500 1
Tl2 Tl 0.000 0.500 0.500 1
Cr1 Cr 0.000 0.333 0.000 1
Se1 Se 0.199 0.500 0.183 1
Se2 Se 0.245 0.181 0.190 1

***

Question: What is the theoretical density in the fourth record?
Answer: 5.36 g/cm³